DFT (GGA-PBE) results for a relaxed TaSi2Tc crystal.

Cell: 2.981 2.981 6.453 Å, 90.00 90.00 90.00°
Space group P4/mmm (No. 123)
Inequivalent atoms, fractional coordinates:
Ta 0.000 0.000 0.000 (multiplicity 1)
Si 0.500 0.500 0.286 (multiplicity 2)
Tc 0.000 0.000 0.500 (multiplicity 1)

## Properties
* offset from the most stable computed form: 0.136 eV per atom
* density: 9.70 g/cm³
* formation energy without anion corrections: -0.356 eV per atom
* calculated volume: 57.3 Å³ per cell
* density of states at the Fermi level: 1.72 states/eV per cell